<P>
OsAuSe2: optimized geometry, PBE.

Unit cell a=2.9616 b=2.9616 c=8.9873 alpha=90.00 beta=90.00 gamma=90.00
Space group P4/mmm (No. 123)
Symmetry-distinct sites (fractional):
1 Os 0.0000 0.0000 0.0000 x1
2 Au 0.0000 0.0000 0.5000 x1
3 Se 0.5000 0.5000 0.1805 x2

***

<Q>
OsAuSe2: optimized geometry, PBE.

Unit cell a=2.8863 b=5.0443 c=10.8595 alpha=90.00 beta=90.00 gamma=90.00
Space group Cmmm (No. 65)
Symmetry-distinct sites (fractional):
1 Os 0.0000 0.0000 0.0000 x2
2 Au 0.0000 0.0000 0.5000 x2
3 Se 0.0000 0.5000 0.1940 x4

***

If we sort the structures by their calculated energies, the order from most to least stable is <P>, <Q>.

***

<P>
LaRuRh2: optimized geometry, PBE.

Unit cell a=5.8208 b=7.9952 c=2.9940 alpha=90.00 beta=90.00 gamma=90.00
Space group Cmmm (No. 65)
Symmetry-distinct sites (fractional):
1 La 0.0000 0.0000 0.0000 x2
2 Ru 0.0000 0.5000 0.0000 x2
3 Rh 0.2500 0.2500 0.5000 x4

***

<Q>
LaRuRh2: optimized geometry, PBE.

Unit cell a=4.6876 b=4.6876 c=16.7617 alpha=90.00 beta=90.00 gamma=90.00
Space group I-42d (No. 122)
Symmetry-distinct sites (fractional):
1 La 0.0000 0.0000 0.0000 x4
2 Ru 0.0000 0.0000 0.5000 x4
3 Rh 0.1073 0.2500 0.6250 x8

***

If we sort the structures by their calculated energies, the order from most to least stable is <P>, <Q>.

***

<P>
TaNi2Ru: optimized geometry, PBE.

Unit cell a=2.7255 b=2.7255 c=25.7577 alpha=90.00 beta=90.00 gamma=120.00
Space group R3m (No. 160, hexagonal axes)
Symmetry-distinct sites (fractional):
1 Ta 0.0000 0.0000 0.0000 x3
2 Ni 0.0000 0.0000 0.2486 x3
3 Ni 0.0000 0.0000 0.5052 x3
4 Ru 0.0000 0.0000 0.7586 x3

***

<Q>
TaNi2Ru: optimized geometry, PBE.

Unit cell a=5.9869 b=5.9869 c=5.9869 alpha=90.00 beta=90.00 gamma=90.00
Space group Fm-3m (No. 225)
Symmetry-distinct sites (fractional):
1 Ta 0.0000 0.0000 0.0000 x4
2 Ni 0.2500 0.2500 0.2500 x8
3 Ru 0.0000 0.0000 0.5000 x4

***

If we sort the structures by their calculated energies, the order from most to least stable is <Q>, <P>.